Entry 1:
Compound: Sn3HPd
Source: Alexandria via LeMat-Bulk
Functional: PBE
Structure: relaxed

Cell: 5.1914 5.1914 5.1914 Å, 90.00 90.00 90.00°
Closest atoms and distances in Å follow each position.
Positions (direct):
Pd1 0.0000 0.0000 0.0000  6 Sn 2.60
Sn1 0.0000 0.0000 0.5000  2 Pd 2.60
Sn2 0.0000 0.5000 0.0000  2 Pd 2.60
Sn3 0.5000 0.0000 0.0000  2 Pd 2.60
H1 0.5000 0.5000 0.5000  12 Sn 3.67

## Properties
Distance to the lowest polymorph of the same formula in meV per atom: 326
N(E_F) in states/eV per cell: 3.2
Space group: Pm-3m (221)

Entry 2:
Compound: SnH5Pd4
Source: Alexandria via LeMat-Bulk
Functional: PBE
Structure: relaxed

Cell: 4.6392 5.5798 8.2304 Å, 90.00 90.00 90.00°
Closest atoms and distances in Å follow each position.
Positions (direct):
H1 0.2221 0.7231 0.7966  3 Pd 1.79-1.94
H2 0.7779 0.7769 0.7034  3 Pd 1.79-1.94
H3 0.7779 0.7769 0.2966  3 Pd 1.79-1.94
H4 0.2221 0.2769 0.7966  3 Pd 1.79-1.94
H5 0.6088 0.5000 0.0000  2 Pd 1.83
H6 0.7779 0.2231 0.7034  3 Pd 1.79-1.94
H7 0.3912 0.0000 0.5000  2 Pd 1.83
H8 0.7779 0.2231 0.2966  3 Pd 1.79-1.94
H9 0.2221 0.7231 0.2034  3 Pd 1.79-1.94
H10 0.2221 0.2769 0.2034  3 Pd 1.79-1.94
Sn1 0.1589 0.5000 0.5000  6 Pd 2.67-2.78, 8 H 2.76-2.88
Sn2 0.8411 0.0000 0.0000  6 Pd 2.67-2.78, 8 H 2.76-2.88
Pd1 0.0981 0.0000 0.6942  4 H 1.85-1.94
Pd2 0.6473 0.2484 0.5000  3 H 1.79-1.83
Pd3 0.9019 0.5000 0.8058  4 H 1.85-1.94
Pd4 0.3527 0.2516 0.0000  3 H 1.79-1.83
Pd5 0.0981 0.0000 0.3058  4 H 1.85-1.94
Pd6 0.9019 0.5000 0.1942  4 H 1.85-1.94
Pd7 0.3527 0.7484 0.0000  3 H 1.79-1.83
Pd8 0.6473 0.7516 0.5000  3 H 1.79-1.83

## Properties
Final energy in eV per atom: -4.22
N(E_F) in states/eV per cell: 4.2
Space group: Pmmn (59)

Among the records above, which one has the highest N(E_F)?
SnH5Pd4

N(E_F) of number 2 (SnH5Pd4)?
4.2 states/eV per cell